Material: YFe2Br
Method: DFT, GGA-PBE
State: relaxed

## Properties
magnetization: 5.2 μB per cell
offset from the most stable computed form: 0.16 eV per formula unit
E: -6.345 eV/atom
ΔE_f (raw): -79 meV/atom
calculated volume: 273.2 Å³ per cell

Unit cell a=3.7368 b=3.7368 c=22.5927 alpha=90.00 beta=90.00 gamma=120.00
Space group R3m (No. 160, hexagonal axes)
Unique sites:
Y  0.0000  0.0000  0.0000 [3 per cell]
Fe  0.0000  0.0000  0.2519 [3 per cell]
Fe  0.0000  0.0000  0.5688 [3 per cell]
Br  0.0000  0.0000  0.7540 [3 per cell]

=====

Material: LiTlInCo
Method: DFT, GGA-PBE
State: relaxed

## Properties
E_form: 69 meV/atom
magnetization: 0.2 μB per cell
E: -3.462 eV/atom
calculated volume: 272.2 Å³ per cell

Unit cell a=6.481 b=6.481 c=6.481 alpha=90.00 beta=90.00 gamma=90.00
Space group F-43m (No. 216)
Unique sites:
Li  0.000  0.000  0.000 [4 per cell]
Tl  0.250  0.250  0.750 [4 per cell]
In  0.250  0.250  0.250 [4 per cell]
Co  0.000  0.000  0.500 [4 per cell]

=====

Material: Be3SbF
Method: DFT, GGA-PBE
State: relaxed

## Properties
magnetization: 0.0 μB per cell
offset from the most stable computed form: 0.00 eV per formula unit
E: -3.215 eV/atom
ΔE_f (raw): 219 meV/atom
calculated volume: 64.8 Å³ per cell

Unit cell a=4.016 b=4.016 c=4.016 alpha=90.00 beta=90.00 gamma=90.00
Space group Pm-3m (No. 221)
Unique sites:
Be  0.000  0.000  0.500 [3 per cell]
Sb  0.500  0.500  0.500 [1 per cell]
F  0.000  0.000  0.000 [1 per cell]